Entry 1:
Here is a relaxed structure of Na2NiB2Pt5 from Alexandria via LeMat-Bulk. Energies are from PBE.

Summary:
Total DFT energy (no corrections) in eV per atom: -5.4968
Formation enthalpy at 0 K in meV/atom: -299

abc: 9.953 9.953 2.817
angles: 90.00 90.00 90.00
Space group P4/mbm (No. 127)
Unique sites:
Na  0.181  0.319  0.000 (multiplicity 4)
Ni  0.000  0.000  0.000 (multiplicity 2)
B  0.128  0.628  0.000 (multiplicity 4)
Pt  0.000  0.500  0.500 (multiplicity 2)
Pt  0.061  0.782  0.500 (multiplicity 8)

---

Entry 2:
Here is a relaxed structure of Nd2YAl9 from Alexandria via LeMat-Bulk. Energies are from PBE.

Summary:
Total DFT energy (no corrections) in eV per atom: -4.4960
Formation enthalpy at 0 K in meV/atom: -356

abc: 5.6511 5.6511 26.5099
angles: 90.00 90.00 120.00
Space group R-3m (No. 166, hexagonal axes)
Unique sites:
Nd  0.0000  0.0000  0.1418 (multiplicity 6)
Y  0.0000  0.0000  0.0000 (multiplicity 3)
Al  0.0000  0.0000  0.3352 (multiplicity 6)
Al  0.0000  0.0000  0.5000 (multiplicity 3)
Al  0.0071  0.5035  0.9178 (multiplicity 18)

---

Entry 3:
Here is a relaxed structure of CeUIr from Alexandria via LeMat-Bulk. Energies are from PBE.

Summary:
Distance to the lowest polymorph of the same formula in kJ per mole of atoms: 7.5
Total DFT energy (no corrections) in eV per atom: -8.9124
Formation enthalpy at 0 K in meV/atom: -218

abc: 4.8129 4.8129 3.0178
angles: 90.00 90.00 120.00
Space group P3m1 (No. 156)
Unique sites:
Ce  0.0000  0.0000  0.0000 (multiplicity 1)
U  0.3333  0.6667  0.7330 (multiplicity 1)
Ir  0.6667  0.3333  0.3896 (multiplicity 1)

---

Entry 4:
Here is a relaxed structure of AlCoAu2 from Alexandria via LeMat-Bulk. Energies are from PBE.

Summary:
Total DFT energy (no corrections) in eV per atom: -4.3621
Formation enthalpy at 0 K in meV/atom: -11

abc: 8.960 2.967 4.808
angles: 90.00 102.76 90.00
Space group C2/m (No. 12)
Unique sites:
Al  0.000  0.000  0.000 (multiplicity 2)
Co  0.000  0.500  0.500 (multiplicity 2)
Au  0.248  0.500  0.252 (multiplicity 4)

---

Entry 5:
Here is a relaxed structure of Mn3PdI9 from Alexandria via LeMat-Bulk. Energies are from PBE.

Summary:
Total DFT energy (no corrections) in eV per atom: -3.8626

abc: 18.283 10.719 14.444
angles: 90.00 128.85 90.00
Space group Cc (No. 9)
Unique sites:
Mn  0.000  0.094  0.000 (multiplicity 4)
Mn  0.106  0.371  0.309 (multiplicity 4)
Mn  0.309  0.288  0.939 (multiplicity 4)
Pd  0.294  0.083  0.633 (multiplicity 4)
I  0.051  0.330  0.089 (multiplicity 4)
I  0.124  0.018  0.968 (multiplicity 4)
I  0.153  0.389  0.891 (multiplicity 4)
I  0.220  0.228  0.707 (multiplicity 4)
I  0.262  0.243  0.448 (multiplicity 4)
I  0.346  0.384  0.285 (multiplicity 4)
I  0.376  0.090  0.091 (multiplicity 4)
I  0.464  0.177  0.815 (multiplicity 4)
I  0.465  0.421  0.105 (multiplicity 4)

---

Entry 6:
Here is a relaxed structure of LiReHg4 from Alexandria via LeMat-Bulk. Energies are from PBE.

Summary:
Total DFT energy (no corrections) in eV per atom: -1.7730
Formation enthalpy at 0 K in meV/atom: 822

abc: 8.109 8.109 8.109
angles: 90.00 90.00 90.00
Space group F-43m (No. 216)
Unique sites:
Li  0.000  0.000  0.000 (multiplicity 4)
Re  0.250  0.250  0.750 (multiplicity 4)
Hg  0.125  0.125  0.375 (multiplicity 16)

---

Entry 7:
Here is a relaxed structure of RbAlTe2 from Alexandria via LeMat-Bulk. Energies are from PBE.

Summary:
Total DFT energy (no corrections) in eV per atom: -3.4405

abc: 22.026 4.416 6.448
angles: 90.00 90.00 90.00
Space group Pnma (No. 62)
Unique sites:
Rb  0.168  0.250  0.180 (multiplicity 4)
Al  0.053  0.750  0.637 (multiplicity 4)
Te  0.013  0.750  0.241 (multiplicity 4)
Te  0.165  0.750  0.692 (multiplicity 4)

---

Entry 8:
Here is a relaxed structure of Na3FeW from Alexandria via LeMat-Bulk. Energies are from PBE.

Summary:
Total DFT energy (no corrections) in eV per atom: -2.9192
Formation enthalpy at 0 K in meV/atom: 2155

abc: 5.826 5.826 5.826
angles: 90.00 90.00 90.00
Space group Pm-3m (No. 221)
Unique sites:
Na  0.000  0.000  0.500 (multiplicity 3)
Fe  0.500  0.500  0.500 (multiplicity 1)
W  0.000  0.000  0.000 (multiplicity 1)